(1)
VASP calculation (GGA-PBE) on a relaxed structure of DyYZnSi.

As for the mass density: 6.228 g/cm³. Its crystal system is orthorhombic. The value obtained for the excess energy over the best structure of this formula in the dataset is 0.00 eV per formula unit.

The space group is Amm2 (No. 38) and the conventional cell measures 4.067, 4.192 and 10.787 Å, with angles of 90.00, 90.00 and 90.00 degrees. The asymmetric unit holds Dy at (0.000, 0.000, 0.000), Y at (0.500, 0.000, 0.717), Zn at (0.000, 0.000, 0.289) and Si at (0.500, 0.000, 0.433).

=====

(2)
VASP calculation (GGA-PBE) on a relaxed structure of DyZnSi.

As for the mass density: 5.640 g/cm³. Its crystal system is tetragonal.

The space group is I4mm (No. 107) and the conventional cell measures 3.255, 3.255 and 14.226 Å, with angles of 90.00, 90.00 and 90.00 degrees. The asymmetric unit holds Dy at (0.000, 0.000, 0.000), Zn at (0.000, 0.000, 0.793) and Si at (0.000, 0.000, 0.622).

=====

(3)
VASP calculation (GGA-PBE) on a relaxed structure of DyZnSi.

As for the mass density: 6.287 g/cm³. Its crystal system is orthorhombic.

The space group is Cmcm (No. 63) and the conventional cell measures 3.878, 15.989 and 4.362 Å, with angles of 90.00, 90.00 and 90.00 degrees. The asymmetric unit holds Dy at (0.000, 0.170, 0.250), Zn at (0.000, 0.040, 0.750) and Si at (0.000, 0.355, 0.250).

=====

(4)
VASP calculation (GGA-PBE) on a relaxed structure of Dy3Zn4Si2.

As for the mass density: 7.548 g/cm³. Its crystal system is monoclinic.

The space group is C2/m (No. 12) and the conventional cell measures 10.587, 4.230 and 8.344 Å, with angles of 90.00, 108.51 and 90.00 degrees. The asymmetric unit holds Dy at (0.000, 0.000, 0.000), Dy at (0.175, 0.500, 0.653), Zn at (0.025, 0.000, 0.362), Zn at (0.242, 0.500, 0.075) and Si at (0.109, 0.500, 0.275).

=====

(5)
VASP calculation (GGA-PBE) on a relaxed structure of DyZn4Si2.

As for the mass density: 6.790 g/cm³. Its crystal system is orthorhombic.

The space group is Cmmm (No. 65) and the conventional cell measures 3.984, 14.848 and 3.971 Å, with angles of 90.00, 90.00 and 90.00 degrees. The asymmetric unit holds Dy at (0.000, 0.000, 0.000), Zn at (0.000, 0.183, 0.500), Zn at (0.000, 0.313, 0.000) and Si at (0.000, 0.421, 0.500).

=====

(6)
VASP calculation (GGA-PBE) on a relaxed structure of DyZnSi2.

As for the mass density: 6.567 g/cm³. Its crystal system is tetragonal. The value obtained for the excess energy over the best structure of this formula in the dataset is 0.40 eV per formula unit.

The space group is P4/mmm (No. 123) and the conventional cell measures 4.215, 4.215 and 4.044 Å, with angles of 90.00, 90.00 and 90.00 degrees. The asymmetric unit holds Dy at (0.000, 0.000, 0.000), Zn at (0.500, 0.500, 0.000) and Si at (0.000, 0.500, 0.500).

=====

(7)
VASP calculation (GGA-PBE) on a relaxed structure of Dy3Zn9Si2.

As for the mass density: 7.559 g/cm³. Its crystal system is orthorhombic.

The space group is Immm (No. 71) and the conventional cell measures 4.254, 9.649 and 12.120 Å, with angles of 90.00, 90.00 and 90.00 degrees. The asymmetric unit holds Dy at (0.000, 0.000, 0.000), Dy at (0.000, 0.000, 0.312), Zn at (0.000, 0.274, 0.139), Zn at (0.000, 0.371, 0.339), Zn at (0.000, 0.500, 0.000) and Si at (0.000, 0.211, 0.500).

=====

(8)
VASP calculation (GGA-PBE) on a relaxed structure of Dy2ZnSi.

As for the mass density: 7.584 g/cm³. Its crystal system is orthorhombic.

The space group is Amm2 (No. 38) and the conventional cell measures 4.062, 4.185 and 10.783 Å, with angles of 90.00, 90.00 and 90.00 degrees. The asymmetric unit holds Dy at (0.000, 0.000, 0.000), Dy at (0.500, 0.000, 0.284), Zn at (0.000, 0.000, 0.712) and Si at (0.500, 0.000, 0.567).

=====

Number 1: E -5.028 eV/atom, formation energy from raw total energies -0.587 eV/atom, total magnetic moment 0.3 μB/f.u.. Number 2: E -3.572 eV/atom, formation energy from raw total energies 0.194 eV/atom, total magnetic moment 0.0 μB/f.u.. Number 3: E -4.088 eV/atom, formation energy from raw total energies -0.322 eV/atom, total magnetic moment 0.0 μB/f.u.. Number 4: E -3.853 eV/atom, formation energy from raw total energies -0.548 eV/atom, total magnetic moment 0.0 μB/f.u.. Number 5: E -3.172 eV/atom, formation energy from raw total energies -0.237 eV/atom, total magnetic moment 0.0 μB/f.u.. Number 6: E -4.474 eV/atom, formation energy from raw total energies -0.293 eV/atom, total magnetic moment 0.0 μB/f.u.. Number 7: E -2.915 eV/atom, formation energy from raw total energies -0.335 eV/atom, total magnetic moment 0.0 μB/f.u.. Number 8: E -4.545 eV/atom, formation energy from raw total energies -0.570 eV/atom, total magnetic moment 0.3 μB/f.u..